The following is a DFT calculation (PBE-GGA) of a relaxed Pm4CuRh2 crystal.

Structure (POSCAR):
```
Pm4CuRh2
1.0
5.7004 -4.4925 0.0000
5.7004 4.4925 0.0000
-2.6742 0.0000 7.0919
Pm Cu Rh
8 2 4
Direct
0.0000 0.0000 0.0000
0.0022 0.0022 0.4904
0.4635 0.9878 0.3582
0.4756 0.9902 0.8605
0.4945 0.4945 0.4826
0.5006 0.5006 0.0064
0.9878 0.4635 0.3582
0.9902 0.4756 0.8605
0.7809 0.7809 0.6341
0.7840 0.7840 0.1347
0.1956 0.7075 0.2200
0.2670 0.2670 0.1167
0.2836 0.2836 0.6451
0.7075 0.1956 0.2200
```

As for the crystal system: monoclinic. The calculation puts the mass density at 7.8 g/cm³. As for the space-group type: Cm, No. 8. The calculation puts the formation energy at -0.485 eV per atom. The density of states at the Fermi level comes out at 10.6 states/eV/cell.